Entry 1:
Density functional theory data (meta-GGA SCAN) for a PBEsol-optimized structure of Zn2InTe.

Properties
As for the formation energy (no corrections): 0.2347 eV/atom. As for the final energy: -96.729 eV per cell. The energy relative to the lowest polymorph listed for this composition is 207.6 meV/atom.

Cell lengths 3.157, 3.592, 7.533 Å; angles 90.00, 90.00, 90.00 degrees
Atoms (fractional coordinates):
Zn (0.000, 0.000, 0.247)
Zn (0.000, 0.000, 0.753)
In (0.500, 0.500, 0.000)
Te (0.500, 0.500, 0.500)

=====

Entry 2:
Density functional theory data (meta-GGA SCAN) for a PBEsol-optimized structure of ZnInTe.

Properties
As for the formation energy (no corrections): 0.1455 eV/atom. As for the final energy: -83.716 eV per cell.

Cell lengths 3.467, 3.467, 6.347 Å; angles 105.85, 105.85, 90.00 degrees
Atoms (fractional coordinates):
Zn (0.329, 0.329, 0.658)
Te (0.690, 0.690, 0.380)
In (0.981, 0.981, 0.963)

=====

Entry 3:
Density functional theory data (meta-GGA SCAN) for a PBEsol-optimized structure of Zn2InTe.

Properties
As for the formation energy (no corrections): 0.2095 eV/atom. As for the final energy: -96.830 eV per cell. The energy relative to the lowest polymorph listed for this composition is 182.4 meV/atom.

Cell lengths 3.421, 3.421, 7.842 Å; angles 90.00, 90.00, 107.27 degrees
Atoms (fractional coordinates):
Zn (0.000, 0.000, 0.747)
Zn (0.000, 0.000, 0.253)
In (0.500, 0.500, 0.500)
Te (0.500, 0.500, 0.000)

=====

Question: Among the records above, which one has the highest final energy?
Answer: ZnInTe

=====

Question: Among the records above, which one has the highest final energy?
Answer: ZnInTe

=====

Question: Look up the final energy of the third one.
Answer: -96.830 eV per cell

=====

Question: Which of these has the highest final energy?
Answer: ZnInTe